! Si2NiF | Alexandria | PBE+U | optimized geometry; values from VASP
&SYSTEM
  ibrav = 0, nat = 8, ntyp = 3
/
ATOMIC_SPECIES
Ni 58.69 Ni.upf
Si 28.09 Si.upf
F 19.00 F.upf
CELL_PARAMETERS angstrom
-3.1111 2.2936 -2.8710
-2.8987 -3.8438 0.0704
-5.6482 1.3010 3.1227
ATOMIC_POSITIONS crystal
Ni 0.0000 0.0000 0.0000
Ni 0.7500 0.2500 0.5000
Si 0.6502 0.1250 0.2500
Si 0.0998 0.6250 0.2500
Si 0.3750 0.3498 0.7500
Si 0.8750 0.9002 0.7500
F 0.5000 0.5000 0.0000
F 0.2500 0.7500 0.5000
! - SG: I-42d (122)
! - Crystal system: tetragonal
! - Energy: -3.6938 eV per atom